(1)
Here is a relaxed Tb7Sm2Y2 crystal from the Alexandria database. Energies are from GGA-PBE.

Cell and atoms, written as POSCAR:
```
Tb7Sm2Y2
1.0
8.9288 -0.3080 -0.4418
-2.2972 5.9999 -1.9425
-0.6836 1.1027 6.4519
Tb Sm Y
7 2 2
direct
0.5000 0.0000 0.0000
0.6698 0.5799 0.8949
0.7167 0.4316 0.3842
0.3611 0.1189 0.4976
0.3302 0.4201 0.1051
0.6389 0.8811 0.5024
0.2833 0.5684 0.6158
0.0722 0.6772 0.2136
0.9278 0.3228 0.7864
0.0482 0.8860 0.7466
0.9518 0.1140 0.2534
```

Summary:
**Calculated formation energy**: 77 meV/atom
**E_tot**: -4.90 eV/atom
**M_tot**: 0.00 μB/f.u.
**V**: 359.1 Å³/f.u.
**SG**: P-1 (2)

(2)
Here is a relaxed TmPO4 crystal from the Alexandria database. Energies are from GGA-PBE.

Cell and atoms, written as POSCAR:
```
TmPO4
1.0
-0.0501 -5.5882 0.4551
1.7272 0.4194 5.3396
-6.0743 0.2131 1.9481
O Tm P
8 2 2
direct
0.1674 0.3259 0.1241
0.8326 0.6741 0.1241
0.1794 0.1348 0.6463
0.8206 0.1348 0.3537
0.8206 0.8652 0.6463
0.1794 0.8652 0.3537
0.1674 0.6741 0.8759
0.8326 0.3259 0.8759
0.5000 0.0000 0.5000
0.0000 0.0000 0.0000
0.0000 0.5000 0.0000
0.0000 0.0000 0.5000
```

Summary:
**Formation energy without anion corrections**: -2.5878 eV per atom
**E_tot**: -7.54 eV/atom
**M_tot**: 0.00 μB/f.u.
**V**: 100.7 Å³/f.u.
**SG**: P222 (16)